No. 1
VASP calculation (PBEsol) on a relaxed CrCuP2 crystal.

Values from the calculation:
Crystal system: orthorhombic
Energy of formation: -0.121 eV per atom
DOS at the Fermi energy: 2.891 states/eV/f.u.

```
data_CrCuP2
_symmetry_space_group_name_H-M 'A m m 2'
_symmetry_Int_Tables_number 38
_cell_length_a 3.3042
_cell_length_b 2.8463
_cell_length_c 11.5486
_cell_angle_alpha 90.00
_cell_angle_beta 90.00
_cell_angle_gamma 90.00
loop_
_symmetry_equiv_pos_as_xyz
'x,y,z'
'-x,-y,z'
'-x,y,z'
'x,-y,z'
'x,y+1/2,z+1/2'
'-x,-y+1/2,z+1/2'
'-x,y+1/2,z+1/2'
'x,-y+1/2,z+1/2'
loop_
_atom_site_label
_atom_site_fract_x
_atom_site_fract_y
_atom_site_fract_z
Cr1 0.0000 0.0000 0.0000
Cu1 0.5000 0.0000 0.7838
P1 0.0000 0.0000 0.3476
P2 0.5000 0.0000 0.5824
```

No. 2
VASP calculation (PBEsol) on a relaxed CrCu2PPt crystal.

Values from the calculation:
Crystal system: tetragonal
Energy of formation: 0.424 eV per atom
DOS at the Fermi energy: 2.844 states/eV/f.u.

```
data_CrCu2PPt
_symmetry_space_group_name_H-M 'P 4/m m m'
_symmetry_Int_Tables_number 123
_symmetry_space_group_name_Hall '-P 4 2'
_cell_length_a 4.1614
_cell_length_b 4.1614
_cell_length_c 4.2954
_cell_angle_alpha 90.00
_cell_angle_beta 90.00
_cell_angle_gamma 90.00
loop_
_atom_site_label
_atom_site_fract_x
_atom_site_fract_y
_atom_site_fract_z
Cr1 0.0000 0.0000 0.0000
Cu1 0.0000 0.5000 0.5000
P1 0.0000 0.0000 0.5000
Pt1 0.5000 0.5000 0.0000
```

No. 3
VASP calculation (PBEsol) on a relaxed CrCuP2Se6 crystal.

Values from the calculation:
Crystal system: monoclinic
ΔE_f (raw): -2.0 eV/f.u.

```
data_CrCuP2Se6
_symmetry_space_group_name_H-M 'C 1 2 1'
_symmetry_Int_Tables_number 5
_cell_length_a 6.1544
_cell_length_b 10.6577
_cell_length_c 6.9080
_cell_angle_alpha 90.00
_cell_angle_beta 106.68
_cell_angle_gamma 90.00
loop_
_symmetry_equiv_pos_as_xyz
'x,y,z'
'-x,y,-z'
'x+1/2,y+1/2,z'
'-x+1/2,y+1/2,-z'
loop_
_atom_site_label
_atom_site_fract_x
_atom_site_fract_y
_atom_site_fract_z
Cr1 0.0000 0.0000 0.0000
Cu1 0.0000 0.3378 0.0000
P1 0.0534 0.6672 0.1661
Se1 0.2267 0.1601 0.2422
Se2 0.2351 0.9953 0.7569
Se3 0.2429 0.8461 0.2438
```

No. 4
VASP calculation (PBEsol) on a relaxed CrCuPb crystal.

Values from the calculation:
Crystal system: trigonal
Energy of formation: 0.619 eV per atom
DOS at the Fermi energy: 1.973 states/eV/f.u.

```
data_CrCuPb
_symmetry_space_group_name_H-M 'P 3 m 1'
_symmetry_Int_Tables_number 156
_cell_length_a 4.4189
_cell_length_b 4.4189
_cell_length_c 3.1350
_cell_angle_alpha 90.00
_cell_angle_beta 90.00
_cell_angle_gamma 120.00
loop_
_symmetry_equiv_pos_as_xyz
'x,y,z'
'-y,x-y,z'
'-x+y,-x,z'
'-y,-x,z'
'-x+y,y,z'
'x,x-y,z'
loop_
_atom_site_label
_atom_site_fract_x
_atom_site_fract_y
_atom_site_fract_z
Cr1 0.0000 0.0000 0.0000
Cu1 0.3333 0.6667 0.5953
Pb1 0.6667 0.3333 0.4536
```

No. 5
VASP calculation (PBEsol) on a relaxed CrCu2Pb crystal.

Values from the calculation:
Crystal system: cubic
Energy of formation: 0.473 eV per atom
DOS at the Fermi energy: 1.761 states/eV/f.u.

```
data_CrCu2Pb
_symmetry_space_group_name_H-M 'F -4 3 m'
_symmetry_Int_Tables_number 216
_symmetry_space_group_name_Hall 'F -4 2 3'
_cell_length_a 6.2602
_cell_length_b 6.2602
_cell_length_c 6.2602
_cell_angle_alpha 90.00
_cell_angle_beta 90.00
_cell_angle_gamma 90.00
loop_
_atom_site_label
_atom_site_fract_x
_atom_site_fract_y
_atom_site_fract_z
Cr1 0.0000 0.0000 0.0000
Cu1 0.0000 0.0000 0.5000
Cu2 0.2500 0.2500 0.7500
Pb1 0.2500 0.2500 0.2500
```

No. 6
VASP calculation (PBEsol) on a relaxed CrCu2Pb crystal.

Values from the calculation:
Crystal system: tetragonal
Energy of formation: 0.478 eV per atom
DOS at the Fermi energy: 2.199 states/eV/f.u.

```
data_CrCu2Pb
_symmetry_space_group_name_H-M 'P 4 m m'
_symmetry_Int_Tables_number 99
_cell_length_a 3.1620
_cell_length_b 3.1620
_cell_length_c 6.4124
_cell_angle_alpha 90.00
_cell_angle_beta 90.00
_cell_angle_gamma 90.00
loop_
_symmetry_equiv_pos_as_xyz
'x,y,z'
'-y,x,z'
'-x,-y,z'
'y,-x,z'
'-x,y,z'
'y,x,z'
'x,-y,z'
'-y,-x,z'
loop_
_atom_site_label
_atom_site_fract_x
_atom_site_fract_y
_atom_site_fract_z
Cr1 0.0000 0.0000 0.0000
Cu1 0.0000 0.0000 0.3960
Cu2 0.5000 0.5000 0.2184
Pb1 0.5000 0.5000 0.6908
```

- Number 2 is which compound?
  CrCu2PPt